CaMn2SbO4 (PBE with a Hubbard U, optimized geometry); calculated volume = 13.83 A^3/atom; E_tot = -6.736 eV per atom; D(E_F) = 1.71 states/eV/cell
1.0
-5.930 -2.194 -1.019
1.693 -1.382 -6.020
3.941 -2.909 5.535
Ca Mn Sb O
2 4 2 8
direct
0.000 0.500 0.000
0.000 0.500 0.500
0.500 0.000 0.000
0.500 0.000 0.500
0.000 0.000 0.500
0.500 0.500 0.000
0.500 0.500 0.500
0.000 0.000 0.000
0.245 0.743 0.966
0.757 0.255 0.534
0.243 0.745 0.466
0.755 0.257 0.034
0.798 0.821 0.108
0.679 0.702 0.392
0.321 0.298 0.608
0.202 0.179 0.892